Entry 1:
Computed, not measured: crystalline LaTaF2 at its relaxed geometry at the GGA-PBE level of DFT.

Results
Energy relative to the elements, uncorrected = -0.8511 eV per atom
Space group = Fm-3m
Total magnetic moment = 1.88 μB per formula unit
V = 17.86 A^3/atom

abc: 4.658 4.658 4.658
angles: 60.00 60.00 60.00
Each line ends with the local moment (μB).
Element x y z (fractional)
F  0.250  0.250  0.250  0.03
F  0.750  0.750  0.750  0.03
La  0.000  0.000  0.000  0.13
Ta  0.500  0.500  0.500  1.12

***

Entry 2:
Computed, not measured: crystalline LaBiF at its relaxed geometry at the GGA-PBE level of DFT.

Results
Energy relative to the elements, uncorrected = -2.1407 eV per atom
Space group = P-6m2
Total magnetic moment = 0.00 μB per formula unit
V = 25.94 A^3/atom

abc: 5.104 4.196 4.196
angles: 120.00 90.00 90.00
Element x y z (fractional)
F  0.167  0.333  0.667
Bi  0.667  0.667  0.333
La  0.167  0.000  0.000

***

> Look up the energy relative to the elements, uncorrected of the first one.

-0.8511 eV per atom

***

> Which of these has the highest V?

LaBiF

***

> The lowest V belongs to which entry?

LaTaF2